## A
Na3RhN | PBE | optimized geometry

Output
DOS at the Fermi energy ... 10.7 states/eV/f.u.
Calculated volume ... 161.20 Å³/cell

Unit cell a=5.4424 b=5.4424 c=5.4424 alpha=90.00 beta=90.00 gamma=90.00
With the nearest neighbours (Å) after each atom.
Positions (direct):
1 Rh 0.0000 0.0000 0.0000  6 Na 2.72
2 N 0.5000 0.5000 0.5000  12 Na 3.85
3 Na 0.5000 0.0000 0.0000  2 Rh 2.72
4 Na 0.0000 0.0000 0.5000  2 Rh 2.72
5 Na 0.0000 0.5000 0.0000  2 Rh 2.72

=====

## B
Na3RhN | PBE | optimized geometry

Output
DOS at the Fermi energy ... 6.8 states/eV/f.u.
Calculated volume ... 101.08 Å³/cell

Unit cell a=4.6582 b=4.6582 c=4.6582 alpha=90.00 beta=90.00 gamma=90.00
With the nearest neighbours (Å) after each atom.
Positions (direct):
1 Na 0.5000 0.0000 0.0000  2 N 2.33
2 Na 0.0000 0.5000 0.0000  2 N 2.33
3 Na 0.0000 0.0000 0.5000  2 N 2.33
4 Rh 0.5000 0.5000 0.5000  12 Na 3.29
5 N 0.0000 0.0000 0.0000  6 Na 2.33

=====

Stability, lowest: A

=====

## A
NaRhN | PBE | optimized geometry

Output
DOS at the Fermi energy ... 1.4 states/eV/f.u.
Calculated volume ... 44.13 Å³/cell

Unit cell a=5.0460 b=3.1778 c=3.1778 alpha=120.00 beta=90.00 gamma=90.00
With the nearest neighbours (Å) after each atom.
Positions (direct):
1 Na 0.7215 0.6667 0.3333  3 N 2.54
2 N 0.0682 0.0000 0.0000  3 Rh 1.97
3 Rh 0.2103 0.3333 0.6667  3 N 1.97

=====

## B
NaRhN | PBE | optimized geometry

Output
DOS at the Fermi energy ... 2.1 states/eV/f.u.
Calculated volume ... 172.11 Å³/cell

Unit cell a=5.5625 b=5.5625 c=5.5625 alpha=90.00 beta=90.00 gamma=90.00
With the nearest neighbours (Å) after each atom.
Positions (direct):
1 Rh 0.3562 0.6438 0.1438  3 N 1.99
2 Rh 0.1438 0.3562 0.6438  3 N 1.99
3 Rh 0.6438 0.1438 0.3562  3 N 1.99
4 Rh 0.8562 0.8562 0.8562  3 N 1.99
5 Na 0.1491 0.1491 0.1491  4 N 2.51-2.81
6 Na 0.8509 0.6491 0.3509  4 N 2.51-2.81
7 Na 0.3509 0.8509 0.6491  4 N 2.51-2.81
8 Na 0.6491 0.3509 0.8509  4 N 2.51-2.81
9 N 0.4098 0.4098 0.4098  3 Rh 1.99
10 N 0.0902 0.5902 0.9098  3 Rh 1.99
11 N 0.9098 0.0902 0.5902  3 Rh 1.99
12 N 0.5902 0.9098 0.0902  3 Rh 1.99

=====

Stability, lowest: B

=====

## A
NaTeRhN2 | PBE | optimized geometry

Output
DOS at the Fermi energy ... 4.1 states/eV/f.u.
Calculated volume ... 89.23 Å³/cell

Unit cell a=3.9463 b=3.9463 c=5.7299 alpha=90.00 beta=90.00 gamma=90.00
With the nearest neighbours (Å) after each atom.
Positions (direct):
1 N 0.0000 0.5000 0.0000  2 Rh 1.97
2 N 0.5000 0.0000 0.0000  2 Rh 1.97
3 Na 0.5000 0.5000 0.5000  4 Te 2.79
4 Rh 0.0000 0.0000 0.0000  4 N 1.97
5 Te 0.0000 0.0000 0.5000  4 Na 2.79, 2 Rh 2.86

=====

## B
NaTeRhN2 | PBE | optimized geometry

Output
DOS at the Fermi energy ... 4.6 states/eV/f.u.
Calculated volume ... 104.91 Å³/cell

Unit cell a=4.1787 b=4.1787 c=6.0079 alpha=90.00 beta=90.00 gamma=90.00
With the nearest neighbours (Å) after each atom.
Positions (direct):
1 N 0.0000 0.5000 0.0000  2 Na 2.09
2 N 0.5000 0.0000 0.0000  2 Na 2.09
3 Na 0.0000 0.0000 0.0000  4 N 2.09
4 Rh 0.5000 0.5000 0.5000  4 Te 2.95
5 Te 0.0000 0.0000 0.5000  4 Rh 2.95, 2 Na 3.00

=====

Stability, lowest: B

=====

## A
NaTe2RhN | PBE | optimized geometry

Output
DOS at the Fermi energy ... 2.3 states/eV/f.u.
Calculated volume ... 118.56 Å³/cell

Unit cell a=5.7193 b=5.7193 c=3.6245 alpha=90.00 beta=90.00 gamma=90.00
With the nearest neighbours (Å) after each atom.
Positions (direct):
1 Na 0.5000 0.5000 0.5000  8 Te 3.39, 2 Na 3.62
2 Rh 0.0000 0.0000 0.0000  2 N 1.81
3 Te 0.5000 0.0000 0.0000  2 Rh 2.86
4 Te 0.0000 0.5000 0.0000  2 Rh 2.86
5 N 0.0000 0.0000 0.5000  2 Rh 1.81

=====

## B
NaTe2RhN | PBE | optimized geometry

Output
DOS at the Fermi energy ... 5.3 states/eV/f.u.
Calculated volume ... 117.04 Å³/cell

Unit cell a=5.3943 b=5.3943 c=4.0221 alpha=90.00 beta=90.00 gamma=90.00
With the nearest neighbours (Å) after each atom.
Positions (direct):
1 Na 0.0000 0.0000 0.0000  2 N 2.01
2 Te 0.5000 0.0000 0.0000  2 Na 2.70
3 Te 0.0000 0.5000 0.0000  2 Na 2.70
4 Rh 0.5000 0.5000 0.5000  8 Te 3.36
5 N 0.0000 0.0000 0.5000  2 Na 2.01

=====

Stability, lowest: B

=====

## A
NaRuN2 | PBE | optimized geometry

Output
DOS at the Fermi energy ... 1.3 states/eV/f.u.
Calculated volume ... 120.49 Å³/cell

Unit cell a=5.2264 b=5.2264 c=5.7546 alpha=62.99 beta=62.99 gamma=90.00
With the nearest neighbours (Å) after each atom.
Positions (direct):
1 N 0.8750 0.9717 0.7500  2 Ru 1.89
2 N 0.3750 0.2783 0.7500  2 Ru 1.89
3 N 0.7217 0.1250 0.2500  2 Ru 1.89
4 N 0.0283 0.6250 0.2500  2 Ru 1.89
5 Na 0.5000 0.5000 0.0000  4 N 2.49
6 Na 0.2500 0.7500 0.5000  4 N 2.49
7 Ru 0.0000 0.0000 0.0000  4 N 1.89
8 Ru 0.7500 0.2500 0.5000  4 N 1.89

=====

## B
NaRuN2 | PBE | optimized geometry

Output
DOS at the Fermi energy ... 3.7 states/eV/f.u.
Calculated volume ... 37.43 Å³/cell

Unit cell a=3.7547 b=3.7547 c=3.7547 alpha=60.00 beta=60.00 gamma=60.00
With the nearest neighbours (Å) after each atom.
Positions (direct):
1 N 0.2500 0.2500 0.2500  4 Na 2.30, 4 Ru 2.30
2 N 0.7500 0.7500 0.7500  4 Na 2.30, 4 Ru 2.30
3 Na 0.0000 0.0000 0.0000  8 N 2.30
4 Ru 0.5000 0.5000 0.5000  8 N 2.30

=====

Stability, lowest: B

=====

## A
Na3RuN2 | PBE | optimized geometry

Output
DOS at the Fermi energy ... 2.6 states/eV/f.u.
Calculated volume ... 610.28 Å³/cell

Unit cell a=9.8782 b=9.8782 c=9.8782 alpha=125.92 beta=125.92 gamma=80.01
With the nearest neighbours (Å) after each atom.
Positions (direct):
1 Na 0.3741 0.8741 0.5000  9 Na 3.72-3.95, 2 N 3.96
2 Na 0.2264 0.7736 0.0000  4 N 2.76-2.94
3 Na 0.9764 0.4764 0.9528  4 N 2.76-2.94
4 Na 0.2264 0.2264 0.4528  4 N 2.76-2.94
5 Na 0.9764 0.0236 0.5000  4 N 2.76-2.94
6 Na 0.6241 0.6241 0.0000  9 Na 3.72-3.95, 2 N 3.96
7 Na 0.3759 0.3759 0.0000  9 Na 3.72-3.95, 2 N 3.96
8 Na 0.7736 0.7736 0.5472  4 N 2.76-2.94
9 Na 0.7736 0.2264 0.0000  4 N 2.76-2.94
10 Na 0.5236 0.4764 0.5000  4 N 2.76-2.94
11 Na 0.1259 0.6259 0.5000  9 Na 3.72-3.95, 2 N 3.96
12 Na 0.5236 0.0236 0.0472  4 N 2.76-2.94
13 N 0.8885 0.2043 0.3158  1 N 1.25
14 N 0.4274 0.1115 0.3158  1 N 1.25
15 N 0.8885 0.5726 0.6842  1 N 1.25
16 N 0.3226 0.1385 0.1842  1 N 1.25
17 N 0.8615 0.6774 0.8158  1 N 1.25
18 N 0.7957 0.1115 0.6842  1 N 1.25
19 N 0.9543 0.1385 0.8158  1 N 1.25
20 N 0.8615 0.0457 0.1842  1 N 1.25
21 Ru 0.6745 0.1745 0.5000  2 N 1.91
22 Ru 0.0755 0.0755 0.0000  2 N 1.91
23 Ru 0.8255 0.3255 0.5000  2 N 1.91
24 Ru 0.9245 0.9245 0.0000  2 N 1.91

=====

## B
Na3RuN2 | PBE | optimized geometry

Output
DOS at the Fermi energy ... 2.1 states/eV/f.u.
Calculated volume ... 195.40 Å³/cell

Unit cell a=5.6562 b=5.6562 c=6.1793 alpha=90.00 beta=90.00 gamma=98.74
With the nearest neighbours (Å) after each atom.
Positions (direct):
1 Na 0.7457 0.7457 0.7500  3 N 2.43-2.52
2 Na 0.2543 0.2543 0.2500  3 N 2.43-2.52
3 Na 0.7095 0.2905 0.0000  3 N 2.47-2.49
4 Na 0.7095 0.2905 0.5000  3 N 2.47-2.49
5 Na 0.2905 0.7095 0.5000  3 N 2.47-2.49
6 Na 0.2905 0.7095 0.0000  3 N 2.47-2.49
7 N 0.0000 0.0000 0.0000  2 Ru 1.92
8 N 0.5963 0.5963 0.2500  1 Ru 1.83
9 N 0.0000 0.0000 0.5000  2 Ru 1.92
10 N 0.4037 0.4037 0.7500  1 Ru 1.83
11 Ru 0.8448 0.8448 0.2500  3 N 1.83-1.92
12 Ru 0.1552 0.1552 0.7500  3 N 1.83-1.92

=====

Stability, lowest: A

=====

## A
NaRuS2N | PBE | optimized geometry

Output
DOS at the Fermi energy ... 7.1 states/eV/f.u.
Calculated volume ... 97.80 Å³/cell

Unit cell a=4.9114 b=4.9114 c=4.0545 alpha=90.00 beta=90.00 gamma=90.00
With the nearest neighbours (Å) after each atom.
Positions (direct):
1 S 0.0000 0.5000 0.0000  2 Na 2.46
2 S 0.5000 0.0000 0.0000  2 Na 2.46
3 Ru 0.5000 0.5000 0.5000  8 S 3.18, 4 N 3.47
4 N 0.0000 0.0000 0.5000  2 Na 2.03
5 Na 0.0000 0.0000 0.0000  2 N 2.03

=====

## B
NaRuS2N | PBE | optimized geometry

Output
DOS at the Fermi energy ... 3.8 states/eV/f.u.
Calculated volume ... 89.02 Å³/cell

Unit cell a=4.9141 b=4.9141 c=3.6865 alpha=90.00 beta=90.00 gamma=90.00
With the nearest neighbours (Å) after each atom.
Positions (direct):
1 Na 0.5000 0.5000 0.5000  8 S 3.07
2 S 0.0000 0.5000 0.0000  2 Ru 2.46
3 S 0.5000 0.0000 0.0000  2 Ru 2.46
4 Ru 0.0000 0.0000 0.0000  2 N 1.84
5 N 0.0000 0.0000 0.5000  2 Ru 1.84

=====

Stability, lowest: A